# Cs2HoMoO6

A relaxed structure of Cs2HoMoO6 (PBE with a Hubbard U, Alexandria).

energy	-6.22	eV per atom
magnetization	0.105	μB per atom
crystal system	trigonal

Unit cell a=6.7910 b=6.7910 c=5.8300 alpha=90.00 beta=90.00 gamma=120.00
Closest atoms and distances in Å follow each position.
Positions (direct):
Cs  0.3333  0.6667  0.1359  9 O 3.13-3.45
Cs  0.6667  0.3333  0.8641  9 O 3.13-3.45
Ho  0.0000  0.0000  0.5000  6 O 2.28
Mo  0.0000  0.0000  0.0000  6 O 1.95
O  0.1297  0.2593  0.7905  1 Mo 1.95
O  0.1297  0.8703  0.7905  1 Mo 1.95
O  0.2593  0.1297  0.2095  1 Mo 1.95
O  0.7407  0.8703  0.7905  1 Mo 1.95
O  0.8703  0.1297  0.2095  1 Mo 1.95
O  0.8703  0.7407  0.2095  1 Mo 1.95